Record 1
Material: Co2ReNi
Method: DFT, GGA-PBE
State: relaxed

Cell: 4.1047 5.1512 5.1512 Å, 120.58 90.00 90.00°
Closest atoms and distances in Å follow each position.
Fractional coordinates of all 8 atoms:
Co 0.2500 0.0804 0.9196  6 Co 2.51-2.60, 4 Ni 2.53-2.59, 2 Re 2.54-2.57
Co 0.2500 0.5887 0.9285  4 Ni 2.47-2.63, 4 Re 2.51-2.64, 4 Co 2.52-2.60
Co 0.7500 0.9196 0.0804  6 Co 2.51-2.60, 4 Ni 2.53-2.59, 2 Re 2.54-2.57
Co 0.7500 0.9285 0.5887  4 Ni 2.47-2.63, 4 Re 2.51-2.64, 4 Co 2.52-2.60
Re 0.2500 0.5886 0.4161  4 Ni 2.51-2.64, 6 Co 2.51-2.64, 2 Re 2.57
Re 0.7500 0.4161 0.5886  4 Ni 2.51-2.64, 6 Co 2.51-2.64, 2 Re 2.57
Ni 0.2500 0.0738 0.4126  8 Co 2.47-2.63, 4 Re 2.51-2.64
Ni 0.7500 0.4126 0.0738  8 Co 2.47-2.63, 4 Re 2.51-2.64

**Energy relative to the elements**: 0.038 eV per atom
**Energy relative to the lowest polymorph listed for this composition**: 7 meV/atom
**Magnetization**: 5.576 μB per cell
**Total DFT energy (no corrections)**: -8.013 eV per atom
**Symmetry**: Ama2 (40)

***

Record 2
Material: InGe5Ir3
Method: DFT, GGA-PBE
State: relaxed

Cell: 5.5890 5.5890 6.3218 Å, 90.00 90.00 120.00°
Closest atoms and distances in Å follow each position.
Fractional coordinates of all 9 atoms:
In 0.0000 0.0000 0.0000  14 Ge 3.16-3.45
Ge 0.0000 0.0000 0.5000  6 Ir 2.79
Ge 0.3333 0.6667 0.1947  1 Ge 2.46, 3 Ir 2.52
Ge 0.3333 0.6667 0.8053  1 Ge 2.46, 3 Ir 2.52
Ge 0.6667 0.3333 0.1947  1 Ge 2.46, 3 Ir 2.52
Ge 0.6667 0.3333 0.8053  1 Ge 2.46, 3 Ir 2.52
Ir 0.0000 0.5000 0.5000  6 Ge 2.52-2.79, 4 Ir 2.79
Ir 0.5000 0.0000 0.5000  6 Ge 2.52-2.79, 4 Ir 2.79
Ir 0.5000 0.5000 0.5000  6 Ge 2.52-2.79, 4 Ir 2.79

**Magnetization**: 0.005 μB per cell
**Total DFT energy (no corrections)**: -5.761 eV per atom
**Symmetry**: P6/mmm (191)

***

Record 3
Material: DyTeW
Method: DFT, GGA-PBE
State: relaxed

Cell: 4.7221 4.7221 4.7221 Å, 60.00 60.00 60.00°
Closest atoms and distances in Å follow each position.
Fractional coordinates of all 3 atoms:
Dy 0.0000 0.0000 0.0000  4 Te 2.89
Te 0.7500 0.7500 0.7500  4 Dy 2.89, 4 W 2.89
W 0.5000 0.5000 0.5000  4 Te 2.89

**Energy relative to the lowest polymorph listed for this composition**: 0 meV/atom
**Magnetization**: 1.205 μB per cell
**Total DFT energy (no corrections)**: -6.259 eV per atom
**Symmetry**: F-43m (216)

***

Record 4
Material: Pu5Pb3
Method: DFT, GGA-PBE
State: relaxed

Cell: 9.2830 9.2830 9.2830 Å, 95.94 95.94 142.46°
Closest atoms and distances in Å follow each position.
Fractional coordinates of all 16 atoms:
Pu 0.0808 0.7717 0.8525  6 Pb 3.27-3.43, 3 Pu 3.36-3.60
Pu 0.2283 0.0808 0.3091  6 Pb 3.27-3.43, 3 Pu 3.36-3.60
Pu 0.2500 0.7500 0.5000  2 Pu 2.99, 4 Pb 3.25
Pu 0.2717 0.5808 0.8525  6 Pb 3.27-3.43, 3 Pu 3.36-3.60
Pu 0.4192 0.2717 0.6909  6 Pb 3.27-3.43, 3 Pu 3.36-3.60
Pu 0.5808 0.7283 0.3091  6 Pb 3.27-3.43, 3 Pu 3.36-3.60
Pu 0.7283 0.4192 0.1475  6 Pb 3.27-3.43, 3 Pu 3.36-3.60
Pu 0.7500 0.2500 0.5000  2 Pu 2.99, 4 Pb 3.25
Pu 0.7717 0.9192 0.6909  6 Pb 3.27-3.43, 3 Pu 3.36-3.60
Pu 0.9192 0.2283 0.1475  6 Pb 3.27-3.43, 3 Pu 3.36-3.60
Pb 0.1639 0.3361 0.5000  10 Pu 3.25-3.43
Pb 0.2500 0.2500 0.0000  2 Pb 2.99
Pb 0.3361 0.8361 0.1722  10 Pu 3.25-3.43
Pb 0.6639 0.1639 0.8278  10 Pu 3.25-3.43
Pb 0.7500 0.7500 0.0000  2 Pb 2.99
Pb 0.8361 0.6639 0.5000  10 Pu 3.25-3.43

**Magnetization**: 58.431 μB per cell
**Total DFT energy (no corrections)**: -10.430 eV per atom
**Symmetry**: I4/mcm (140)

***

> Which of these has the lowest magnetization?

InGe5Ir3

***

> Among the records above, which one has the lowest magnetization?

InGe5Ir3

***

> Among the records above, which one has the lowest total DFT energy (no corrections)?

Pu5Pb3